This record from the Alexandria database describes a relaxed TmScSnRu crystal. The functional is PBE-GGA.

The value obtained for the spin magnetization is 0.000 μB per formula unit. The calculation puts the calculated density at 8.48 Mg/m³. The density of states at the Fermi level is 1.16 states/eV/f.u. The formation enthalpy at 0 K comes out at -0.613 eV/atom.

The space group is P4mm (No. 99) and the conventional cell measures 3.294, 3.294 and 7.831 Å, with angles of 90.00, 90.00 and 90.00 degrees. The distinct sites, in fractional coordinates, are Tm at (0.000, 0.000, 0.000), Sc at (0.000, 0.000, 0.591), Sn at (0.500, 0.500, 0.311) and Ru at (0.500, 0.500, 0.779).



This record from the Alexandria database describes a relaxed Sc2V2SnRu5 crystal. The functional is PBE-GGA.

The value obtained for the spin magnetization is 0.000 μB per formula unit. The calculation puts the calculated density at 8.21 Mg/m³. The density of states at the Fermi level is 4.15 states/eV/f.u. The formation enthalpy at 0 K comes out at -0.259 eV/atom.

The space group is P4/mbm (No. 127) and the conventional cell measures 9.970, 9.970 and 3.318 Å, with angles of 90.00, 90.00 and 90.00 degrees. The distinct sites, in fractional coordinates, are Sc at (0.175, 0.325, 0.000), V at (0.124, 0.624, 0.000), Sn at (0.000, 0.000, 0.000), Ru at (0.000, 0.500, 0.500) and Ru at (0.068, 0.790, 0.500).



This record from the Alexandria database describes a relaxed ScSnRu2W crystal. The functional is PBE-GGA.

The value obtained for the spin magnetization is 0.000 μB per formula unit. The calculation puts the calculated density at 8.22 Mg/m³. The density of states at the Fermi level is 4.74 states/eV/f.u. The formation enthalpy at 0 K comes out at 0.934 eV/atom.

The space group is P4/mmm (No. 123) and the conventional cell measures 4.698, 4.698 and 5.031 Å, with angles of 90.00, 90.00 and 90.00 degrees. The distinct sites, in fractional coordinates, are Sc at (0.000, 0.000, 0.000), Sn at (0.500, 0.500, 0.000), Ru at (0.000, 0.500, 0.500) and W at (0.000, 0.000, 0.500).



This record from the Alexandria database describes a relaxed ScZnSnRu crystal. The functional is PBE-GGA.

The value obtained for the spin magnetization is 0.000 μB per formula unit. The calculation puts the calculated density at 7.99 Mg/m³. The density of states at the Fermi level is 2.47 states/eV/f.u. The formation enthalpy at 0 K comes out at -0.336 eV/atom.

The space group is F-43m (No. 216) and the conventional cell measures 6.498, 6.498 and 6.498 Å, with angles of 90.00, 90.00 and 90.00 degrees. The distinct sites, in fractional coordinates, are Sc at (0.000, 0.000, 0.000), Zn at (0.250, 0.250, 0.750), Sn at (0.250, 0.250, 0.250) and Ru at (0.000, 0.000, 0.500).